First-principles (GGA-PBE) data for a relaxed Rb2Ta2Se crystal, as listed in the Alexandria database.

Summary:
As for the formation energy without anion corrections: 1.33 eV/atom. For the volume, the calculation gives 363.5 Å³/cell. As for the excess energy over the best structure of this formula in the dataset: 0.811 eV/atom. For the total energy, the calculation gives -4.50 eV/atom.

CIF file:
```
data_Rb2Ta2Se
_chemical_formula_sum 'Rb4 Ta4 Se2'
_space_group_name_H-M_alt 'P 4/m b m'
_space_group_IT_number 127
_space_group_name_Hall '-P 4 2ab'
_cell_length_a 10.8595
_cell_length_b 10.8595
_cell_length_c 3.0826
_cell_angle_alpha 90.00
_cell_angle_beta 90.00
_cell_angle_gamma 90.00
loop_
_atom_site_label
_atom_site_fract_x
_atom_site_fract_y
_atom_site_fract_z
_atom_site_occupancy
Rb1 0.2131 0.2869 0.0000 1
Ta1 0.0746 0.5746 0.5000 1
Se1 0.0000 0.0000 0.0000 1
```